This record from Alexandria via LeMat-Bulk describes crystalline Cs2HfVBr6 at its relaxed geometry. The functional is GGA-PBE.

```
data_Cs2HfVBr6
_cell_length_a 10.9047
_cell_length_b 10.9047
_cell_length_c 10.9047
_cell_angle_alpha 90.00
_cell_angle_beta 90.00
_cell_angle_gamma 90.00
_space_group_name_H-M_alt 'F m -3 m'
_space_group_IT_number 225
_space_group_name_Hall '-F 4 2 3'
loop_
_atom_site_label
_atom_site_type_symbol
_atom_site_fract_x
_atom_site_fract_y
_atom_site_fract_z
Cs1 Cs 0.2500 0.2500 0.2500
Hf1 Hf 0.0000 0.0000 0.0000
V1 V 0.0000 0.0000 0.5000
Br1 Br 0.0000 0.0000 0.2481
```

Values from the calculation:
Crystal system: cubic

---

This record from Alexandria via LeMat-Bulk describes crystalline Cs2HfWBr6 at its relaxed geometry. The functional is GGA-PBE.

```
data_Cs2HfWBr6
_cell_length_a 8.3732
_cell_length_b 8.3732
_cell_length_c 10.4160
_cell_angle_alpha 90.00
_cell_angle_beta 90.00
_cell_angle_gamma 90.00
_space_group_name_H-M_alt 'I 4/m m m'
_space_group_IT_number 139
_space_group_name_Hall '-I 4 2'
loop_
_atom_site_label
_atom_site_type_symbol
_atom_site_fract_x
_atom_site_fract_y
_atom_site_fract_z
Cs1 Cs 0.0000 0.5000 0.2500
Hf1 Hf 0.0000 0.0000 0.0000
W1 W 0.0000 0.0000 0.5000
Br1 Br 0.0000 0.0000 0.2556
Br2 Br 0.2262 0.2262 0.0000
```

Values from the calculation:
Crystal system: tetragonal

---

This record from Alexandria via LeMat-Bulk describes crystalline Cs2HfZnBr6 at its relaxed geometry. The functional is GGA-PBE.

```
data_Cs2HfZnBr6
_cell_length_a 11.8982
_cell_length_b 11.8982
_cell_length_c 11.8982
_cell_angle_alpha 90.00
_cell_angle_beta 90.00
_cell_angle_gamma 90.00
_space_group_name_H-M_alt 'F m -3 m'
_space_group_IT_number 225
_space_group_name_Hall '-F 4 2 3'
loop_
_atom_site_label
_atom_site_type_symbol
_atom_site_fract_x
_atom_site_fract_y
_atom_site_fract_z
Cs1 Cs 0.2500 0.2500 0.2500
Hf1 Hf 0.0000 0.0000 0.0000
Zn1 Zn 0.0000 0.0000 0.5000
Br1 Br 0.0000 0.0000 0.2210
```

Values from the calculation:
Crystal system: cubic

---

This record from Alexandria via LeMat-Bulk describes crystalline Cs3HgBr3 at its relaxed geometry. The functional is GGA-PBE.

```
data_Cs3HgBr3
_cell_length_a 9.9852
_cell_length_b 9.9852
_cell_length_c 9.9852
_cell_angle_alpha 90.00
_cell_angle_beta 90.00
_cell_angle_gamma 90.00
_space_group_name_H-M_alt 'P m -3 n'
_space_group_IT_number 223
_space_group_name_Hall '-P 4n 2 3'
loop_
_atom_site_label
_atom_site_type_symbol
_atom_site_fract_x
_atom_site_fract_y
_atom_site_fract_z
Cs1 Cs 0.0000 0.2500 0.5000
Hg1 Hg 0.0000 0.0000 0.0000
Br1 Br 0.0000 0.5000 0.2500
```

Values from the calculation:
Distance to the lowest polymorph of the same formula: 0.0488 eV per atom
Crystal system: cubic

---

This record from Alexandria via LeMat-Bulk describes crystalline CsHgBr2 at its relaxed geometry. The functional is GGA-PBE.

```
data_CsHgBr2
_cell_length_a 8.5138
_cell_length_b 8.6734
_cell_length_c 9.9263
_cell_angle_alpha 90.00
_cell_angle_beta 107.24
_cell_angle_gamma 90.00
_space_group_name_H-M_alt 'P 1 21/c 1'
_space_group_IT_number 14
loop_
_space_group_symop_operation_xyz
'x,y,z'
'-x,-y,-z'
'-x,y+1/2,-z+1/2'
'x,-y+1/2,z+1/2'
loop_
_atom_site_label
_atom_site_type_symbol
_atom_site_fract_x
_atom_site_fract_y
_atom_site_fract_z
Cs1 Cs 0.2359 0.2193 0.0580
Hg1 Hg 0.2345 0.7457 0.3147
Br1 Br 0.0034 0.5008 0.7651
Br2 Br 0.4347 0.6906 0.6168
```

Values from the calculation:
Distance to the lowest polymorph of the same formula: 0.0879 eV per atom
Crystal system: monoclinic

---

This record from Alexandria via LeMat-Bulk describes crystalline Cs3HgBr3 at its relaxed geometry. The functional is GGA-PBE.

```
data_Cs3HgBr3
_cell_length_a 10.9147
_cell_length_b 10.9147
_cell_length_c 21.9979
_cell_angle_alpha 90.00
_cell_angle_beta 90.00
_cell_angle_gamma 120.00
_space_group_name_H-M_alt 'R -3'
_space_group_IT_number 148
_space_group_name_Hall '-R 3'
loop_
_atom_site_label
_atom_site_type_symbol
_atom_site_fract_x
_atom_site_fract_y
_atom_site_fract_z
Cs1 Cs 0.9997 0.3306 0.4158
Hg1 Hg 0.0000 0.0000 0.1660
Br1 Br 0.9996 0.3341 0.5832
```

Values from the calculation:
Distance to the lowest polymorph of the same formula: 0.0000 eV per atom
Crystal system: trigonal

---

This record from Alexandria via LeMat-Bulk describes crystalline CsHgBr2 at its relaxed geometry. The functional is GGA-PBE.

```
data_CsHgBr2
_cell_length_a 5.6153
_cell_length_b 5.6153
_cell_length_c 27.2043
_cell_angle_alpha 90.00
_cell_angle_beta 90.00
_cell_angle_gamma 120.00
_space_group_name_H-M_alt 'R -3 m'
_space_group_IT_number 166
_space_group_name_Hall '-R 3 2"'
loop_
_atom_site_label
_atom_site_type_symbol
_atom_site_fract_x
_atom_site_fract_y
_atom_site_fract_z
Cs1 Cs 0.0000 0.0000 0.0000
Hg1 Hg 0.0000 0.0000 0.5000
Br1 Br 0.0000 0.0000 0.3972
```

Values from the calculation:
Distance to the lowest polymorph of the same formula: 0.2131 eV per atom
Crystal system: trigonal

---

This record from Alexandria via LeMat-Bulk describes crystalline CsHgBr2 at its relaxed geometry. The functional is GGA-PBE.

```
data_CsHgBr2
_cell_length_a 7.0016
_cell_length_b 7.0016
_cell_length_c 16.7260
_cell_angle_alpha 90.00
_cell_angle_beta 90.00
_cell_angle_gamma 90.00
_space_group_name_H-M_alt 'I -4 2 d'
_space_group_IT_number 122
_space_group_name_Hall 'I -4 2bw'
loop_
_atom_site_label
_atom_site_type_symbol
_atom_site_fract_x
_atom_site_fract_y
_atom_site_fract_z
Cs1 Cs 0.0000 0.0000 0.0000
Hg1 Hg 0.0000 0.0000 0.5000
Br1 Br 0.1614 0.2500 0.6250
```

Values from the calculation:
Distance to the lowest polymorph of the same formula: 0.1508 eV per atom
Crystal system: tetragonal

---

| no. | D(E_F) (states/eV/atom) | formation energy without anion corrections (eV per formula unit) |
| --- | --- | --- |
| 1 | 1.025 | -11.3 |
| 2 | 0.406 | -7.3 |
| 3 | 0.000 | -13.6 |
| 4 | 0.000 | -10.0 |
| 5 | 0.133 | -4.0 |
| 6 | 0.000 | -10.3 |
| 7 | 0.679 | -3.5 |
| 8 | 0.001 | -3.7 |